Entry 1:
CaNd3Rh: optimized geometry, GGA-PBE.

Cell lengths 8.173, 7.547, 10.602 Å; angles 90.00, 106.05, 90.00 degrees
Fractional positions:
Ca1 0.195 0.043 0.255
Ca2 0.195 0.457 0.755
Ca3 0.805 0.543 0.245
Ca4 0.805 0.957 0.745
Nd1 0.077 0.707 0.027
Nd2 0.077 0.793 0.527
Nd3 0.289 0.505 0.377
Nd4 0.289 0.995 0.877
Nd5 0.410 0.128 0.606
Nd6 0.410 0.372 0.106
Nd7 0.590 0.628 0.894
Nd8 0.590 0.872 0.394
Nd9 0.711 0.005 0.123
Nd10 0.711 0.495 0.623
Nd11 0.923 0.207 0.473
Nd12 0.923 0.293 0.973
Rh1 0.438 0.736 0.605
Rh2 0.438 0.764 0.105
Rh3 0.562 0.236 0.895
Rh4 0.562 0.264 0.395

Summary:
As for the energy relative to the elements: -221 meV per atom. Its total DFT energy (no corrections) is -4.952 eV/atom. The distance to the lowest polymorph of the same formula comes out at 0 meV per atom.

---

Entry 2:
BeIrNF2: optimized geometry, GGA-PBE.

Cell lengths 3.032, 3.032, 7.211 Å; angles 90.00, 90.00, 90.00 degrees
Fractional positions:
Be1 0.000 0.000 0.000
Ir1 0.500 0.500 0.500
N1 0.000 0.000 0.500
F1 0.000 0.500 0.000
F2 0.500 0.000 0.000

Summary:
The calculation puts the formation energy (no corrections) at -0.9162 eV per atom. Its total DFT energy (no corrections) is -5.847 eV/atom. The distance to the lowest polymorph of the same formula comes out at 0 meV per atom.

---

Entry 3:
BaTlRe2Rh: optimized geometry, GGA-PBE.

Cell lengths 5.195, 5.195, 5.154 Å; angles 90.00, 90.00, 90.00 degrees
Fractional positions:
Ba1 0.000 0.000 0.000
Tl1 0.500 0.500 0.500
Re1 0.000 0.500 0.500
Re2 0.500 0.000 0.500
Rh1 0.500 0.500 0.000

Summary:
As for the energy relative to the elements: 2039 meV per atom. Its total DFT energy (no corrections) is -5.268 eV/atom.

---

Entry 4:
LaBP2S: optimized geometry, GGA-PBE.

Cell lengths 4.079, 4.079, 5.483 Å; angles 90.00, 90.00, 90.00 degrees
Fractional positions:
La1 0.000 0.000 0.000
B1 0.500 0.500 0.500
P1 0.000 0.500 0.500
P2 0.500 0.000 0.500
S1 0.500 0.500 0.000

Summary:
The calculation puts the formation energy (no corrections) at -0.2575 eV per atom. Its total DFT energy (no corrections) is -5.568 eV/atom. The distance to the lowest polymorph of the same formula comes out at 0 meV per atom.

---

Entry 5:
Y6Er3ZrSc2: optimized geometry, GGA-PBE.

Cell lengths 6.009, 6.009, 11.479 Å; angles 94.99, 94.99, 119.93 degrees
Fractional positions:
Y1 0.080 0.410 0.240
Y2 0.250 0.250 0.761
Y3 0.410 0.080 0.240
Y4 0.590 0.920 0.760
Y5 0.750 0.750 0.239
Y6 0.920 0.590 0.760
Er1 0.167 0.833 0.500
Er2 0.500 0.500 0.500
Er3 0.833 0.167 0.500
Zr1 0.000 0.000 0.000
Sc1 0.333 0.667 0.000
Sc2 0.667 0.333 0.000

Summary:
As for the energy relative to the elements: 65 meV per atom. Its total DFT energy (no corrections) is -6.076 eV/atom.

---

Entry 6:
BaTlGaAg2: optimized geometry, GGA-PBE.

Cell lengths 5.108, 5.108, 5.584 Å; angles 90.00, 90.00, 90.00 degrees
Fractional positions:
Ba1 0.000 0.000 0.000
Tl1 0.500 0.500 0.000
Ga1 0.500 0.500 0.500
Ag1 0.000 0.500 0.500
Ag2 0.500 0.000 0.500

Summary:
As for the energy relative to the elements: -79 meV per atom. Its total DFT energy (no corrections) is -2.683 eV/atom.

---

The theoretical density results, record by record, are as follows: 6.08, 6.34, 9.75, 4.44, 5.71, 7.15 Mg/m³.